[1]
Compound: Na2CePb5
Source: Alexandria via LeMat-Bulk
Functional: PBE-GGA
Structure: optimized geometry

As for the formation energy: -211 meV per atom. Its density of states at the Fermi level is 14.15 states/eV/cell. The calculation puts the mass density at 8.55 Mg/m³. For the calculated total energy, the calculation gives -0.132 Ha/atom.

It has space group I4/mmm (No. 139), with a = 8.247 Å, b = 8.247 Å, c = 6.979 Å, α = 90.00°, β = 90.00° and γ = 90.00°. The distinct sites, in fractional coordinates, are Na at (0.000, 0.500, 0.000), Ce at (0.000, 0.000, 0.000), Pb at (0.000, 0.000, 0.500) and Pb at (0.250, 0.250, 0.250).

***

[2]
Compound: NaCePb2
Source: Alexandria via LeMat-Bulk
Functional: PBE-GGA
Structure: optimized geometry

As for the formation energy: -176 meV per atom. Its density of states at the Fermi level is 17.09 states/eV/cell. The calculation puts the mass density at 8.30 Mg/m³. For the calculated total energy, the calculation gives -0.141 Ha/atom.

It has space group R-3m (No. 166, hexagonal axes), with a = 3.4682 Å, b = 3.4682 Å, c = 33.2790 Å, α = 90.00°, β = 90.00° and γ = 120.00°. The distinct sites, in fractional coordinates, are Na at (0.0000, 0.0000, 0.0000), Ce at (0.0000, 0.0000, 0.5000) and Pb at (0.0000, 0.0000, 0.2519).